DFT (PBEsol) results for a geometry-optimized MnP2Pb structure.

- N(E_F): 4.08 states/eV per cell
- Formation energy: -0.071 eV/atom

Unit cell a=7.6692 b=3.1299 c=6.1525 alpha=90.00 beta=104.30 gamma=90.00
Element x y z (fractional)
Mn1 0.0000 0.0000 0.0000
Mn2 0.5000 0.5000 0.0000
P1 0.0512 0.5000 0.2636
P2 0.2052 0.5000 0.9813
P3 0.5512 0.0000 0.2636
P4 0.7052 0.0000 0.9813
Pb1 0.3558 0.0000 0.5979
Pb2 0.8558 0.5000 0.5979